# 1
{
  "formula": "HoU2Te4",
  "functional": "PBE",
  "state": "relaxed",
  "cell": [[4.1321, 0.0000, 0.0000], [-2.0661, 7.0280, 0.0000], [0.0000, 0.0000, 15.4709]],
  "species": ["Ho", "Ho", "U", "U", "U", "U", "Te", "Te", "Te", "Te", "Te", "Te", "Te", "Te"],
  "fractional_positions": [[0.6073, 0.2146, 0.7500], [0.3927, 0.7854, 0.2500], [0.1458, 0.2917, 0.4368], [0.8542, 0.7083, 0.9368], [0.1458, 0.2917, 0.0632], [0.8542, 0.7083, 0.5632], [0.7914, 0.5828, 0.1312], [0.7914, 0.5828, 0.3688], [0.2086, 0.4172, 0.8688], [0.2086, 0.4172, 0.6312], [0.9449, 0.8898, 0.7500], [0.0551, 0.1102, 0.2500], [0.5000, 0.0000, 0.0000], [0.5000, 0.0000, 0.5000]],
  "crystal_system": "orthorhombic"
}



# 2
{
  "formula": "InB2TeO",
  "functional": "PBE",
  "state": "relaxed",
  "cell": [[-4.4035, -0.8833, 0.7809], [0.9002, -1.1833, 3.7380], [-0.5911, 4.2665, 1.4930]],
  "species": ["B", "B", "Te", "O", "In"],
  "fractional_positions": [[0.0000, 0.0000, 0.5000], [0.5000, 0.0000, 0.0000], [0.0000, 0.0000, 0.0000], [0.0000, 0.5000, 0.0000], [0.5000, 0.5000, 0.5000]],
  "crystal_system": "tetragonal"
}



Listing density for the structures above in their given order: 8.51; 5.56 g cm⁻³.
Listing formation energy (no corrections) for the structures above in their given order: -0.74; 1.11 eV/atom.